Entry 1:
VASP calculation (PBE) on a relaxed BC2 crystal.

Lattice parameters (Å, degrees): 6.725 6.725 4.605 104.33 104.33 22.27
Fractional positions:
B: 0.000 0.000 0.000
B: 0.501 0.501 0.474
B: 0.642 0.642 0.690
B: 0.654 0.654 0.333
C: 0.123 0.123 0.126
C: 0.178 0.178 0.886
C: 0.296 0.296 0.998
C: 0.335 0.335 0.692
C: 0.455 0.455 0.781
C: 0.791 0.791 0.504
C: 0.834 0.834 0.195
C: 0.951 0.951 0.289

Calculated values
DOS(E_F) = 0.17 states/eV per atom
Polymorph energy (0 for the lowest one) = 0.137 eV per atom
Spin magnetization = 0.00 μB/cell

Entry 2:
VASP calculation (PBE) on a relaxed Pm3Y2Zn2 crystal.

Lattice parameters (Å, degrees): 6.731 6.731 9.184 114.32 114.32 32.59
Fractional positions:
Pm: 0.000 0.000 0.000
Pm: 0.109 0.109 0.438
Pm: 0.891 0.891 0.562
Y: 0.349 0.349 0.186
Y: 0.651 0.651 0.814
Zn: 0.320 0.320 0.778
Zn: 0.680 0.680 0.222

Calculated values
DOS(E_F) = 1.18 states/eV per atom
Polymorph energy (0 for the lowest one) = 0.026 eV per atom
Spin magnetization = 0.00 μB/cell

Entry 3:
VASP calculation (PBE) on a relaxed Ca2TmSn3Pd4 crystal.

Lattice parameters (Å, degrees): 4.545 4.545 11.298 90.00 90.00 90.00
Fractional positions:
Ca: 0.000 0.500 0.226
Ca: 0.500 0.000 0.774
Tm: 0.000 0.000 0.500
Sn: 0.000 0.500 0.875
Sn: 0.500 0.000 0.125
Sn: 0.500 0.500 0.500
Pd: 0.000 0.000 0.000
Pd: 0.000 0.500 0.644
Pd: 0.500 0.000 0.356
Pd: 0.500 0.500 0.000

Calculated values
DOS(E_F) = 0.53 states/eV per atom
DFT total energy = -4.875 eV per atom
Spin magnetization = 0.00 μB/cell

Entry 4:
VASP calculation (PBE) on a relaxed TaAuSe2 crystal.

Lattice parameters (Å, degrees): 6.942 6.942 6.942 127.12 127.12 78.06
Fractional positions:
Ta: 0.000 0.000 0.000
Ta: 0.750 0.250 0.500
Au: 0.250 0.750 0.500
Au: 0.500 0.500 0.000
Se: 0.105 0.625 0.980
Se: 0.375 0.355 0.480
Se: 0.645 0.125 0.020
Se: 0.875 0.895 0.520

Calculated values
Formation energy from raw total energies = 68 meV per atom
DOS(E_F) = 0.66 states/eV per atom
Polymorph energy (0 for the lowest one) = 0.488 eV per atom
Spin magnetization = 0.00 μB/cell